Entry 1:
A plane-wave DFT calculation with PBE-GGA was carried out for a geometry-optimized CdBi2Te structure.

Values from the calculation:
**VASP energy**: -11.67 eV/cell

Cell lengths 5.4966, 5.4966, 5.4966 Å; angles 60.00, 60.00, 60.00 degrees
Element x y z (fractional)
Cd1 0.0000 0.0000 0.0000
Bi1 0.2500 0.2500 0.2500
Bi2 0.5000 0.5000 0.5000
Te1 0.7500 0.7500 0.7500

=====

Entry 2:
A plane-wave DFT calculation with PBE-GGA was carried out for a geometry-optimized LiGeAu3S4 structure.

Values from the calculation:
**VASP energy**: -68.11 eV/cell
**E above lowest polymorph**: 0.0000 eV/atom

Cell lengths 5.4777, 7.9049, 9.2433 Å; angles 90.00, 93.18, 90.00 degrees
Element x y z (fractional)
Li1 0.2340 0.2500 0.2310
Li2 0.7660 0.7500 0.7690
Ge1 0.2644 0.7500 0.1799
Ge2 0.7356 0.2500 0.8201
Au1 0.2063 0.2500 0.8852
Au2 0.2130 0.0756 0.5849
Au3 0.2130 0.4244 0.5849
Au4 0.7870 0.5756 0.4151
Au5 0.7870 0.9244 0.4151
Au6 0.7937 0.7500 0.1148
S1 0.0518 0.7500 0.5718
S2 0.1187 0.7500 0.9494
S3 0.4995 0.0122 0.7829
S4 0.4995 0.4878 0.7829
S5 0.5005 0.5122 0.2171
S6 0.5005 0.9878 0.2171
S7 0.8813 0.2500 0.0506
S8 0.9482 0.2500 0.4282

=====

Entry 3:
A plane-wave DFT calculation with PBE-GGA was carried out for a geometry-optimized CsGdCdTeSe2 structure.

Values from the calculation:
**VASP energy**: -48.34 eV/cell

Cell lengths 8.7477, 8.7477, 11.6691 Å; angles 90.00, 90.00, 150.98 degrees
Element x y z (fractional)
Cs1 0.2339 0.7661 0.7500
Cs2 0.7661 0.2339 0.2500
Gd1 0.0000 0.0000 0.0000
Gd2 0.0000 0.0000 0.5000
Cd1 0.4715 0.5285 0.2500
Cd2 0.5285 0.4715 0.7500
Te1 0.0788 0.9212 0.2500
Te2 0.9212 0.0788 0.7500
Se1 0.3904 0.6096 0.0565
Se2 0.3904 0.6096 0.4435
Se3 0.6096 0.3904 0.5565
Se4 0.6096 0.3904 0.9435

=====

Entry 4:
A plane-wave DFT calculation with PBE-GGA was carried out for a geometry-optimized Cs2TcHgCl6 structure.

Values from the calculation:
**VASP energy**: -35.39 eV/cell

Cell lengths 7.8162, 7.8162, 7.8162 Å; angles 60.00, 60.00, 60.00 degrees
Element x y z (fractional)
Cs1 0.2500 0.2500 0.2500
Cs2 0.7500 0.7500 0.7500
Tc1 0.0000 0.0000 0.0000
Hg1 0.5000 0.5000 0.5000
Cl1 0.2154 0.2154 0.7846
Cl2 0.2154 0.7846 0.2154
Cl3 0.2154 0.7846 0.7846
Cl4 0.7846 0.2154 0.2154
Cl5 0.7846 0.2154 0.7846
Cl6 0.7846 0.7846 0.2154

=====

Entry 5:
A plane-wave DFT calculation with PBE-GGA was carried out for a geometry-optimized BeCdFeAs structure.

Values from the calculation:
**VASP energy**: -15.27 eV/cell
**E above lowest polymorph**: 0.0488 eV/atom

Cell lengths 4.4361, 4.4361, 4.4361 Å; angles 60.00, 60.00, 60.00 degrees
Element x y z (fractional)
Be1 0.0000 0.0000 0.0000
Cd1 0.2500 0.2500 0.2500
Fe1 0.7500 0.7500 0.7500
As1 0.5000 0.5000 0.5000

=====

Entry 6:
A plane-wave DFT calculation with PBE-GGA was carried out for a geometry-optimized Cd3PbO4 structure.

Values from the calculation:
**VASP energy**: -33.91 eV/cell

Cell lengths 5.9200, 5.9200, 3.4348 Å; angles 90.00, 90.00, 109.44 degrees
Element x y z (fractional)
Cd1 0.0000 0.0000 0.0000
Cd2 0.0000 0.5000 0.5000
Cd3 0.5000 0.0000 0.5000
Pb1 0.5000 0.5000 0.0000
O1 0.2336 0.2336 0.5000
O2 0.2417 0.7583 0.0000
O3 0.7583 0.2417 0.0000
O4 0.7664 0.7664 0.5000

=====

Entry 7:
A plane-wave DFT calculation with PBE-GGA was carried out for a geometry-optimized KRbNd2Sb2 structure.

Values from the calculation:
**VASP energy**: -21.99 eV/cell
**E above lowest polymorph**: 0.2771 eV/atom

Cell lengths 4.7667, 4.7667, 15.2994 Å; angles 90.00, 90.00, 120.00 degrees
Element x y z (fractional)
K1 0.0000 0.0000 0.0000
Rb1 0.6667 0.3333 0.4975
Nd1 0.3333 0.6667 0.2376
Nd2 0.3333 0.6667 0.7504
Sb1 0.0000 0.0000 0.6635
Sb2 0.6667 0.3333 0.1502

=====

Entry 8:
A plane-wave DFT calculation with PBE-GGA was carried out for a geometry-optimized HfInCu3S4 structure.

Values from the calculation:
**VASP energy**: -91.47 eV/cell
**E above lowest polymorph**: 0.0000 eV/atom

Cell lengths 5.7017, 7.2017, 9.4278 Å; angles 90.00, 103.94, 90.00 degrees
Element x y z (fractional)
Hf1 0.1240 0.2500 0.2979
Hf2 0.8760 0.7500 0.7021
In1 0.2592 0.2500 0.8949
In2 0.7408 0.7500 0.1051
Cu1 0.2871 0.5536 0.5211
Cu2 0.2871 0.9464 0.5211
Cu3 0.4162 0.7500 0.7621
Cu4 0.5838 0.2500 0.2379
Cu5 0.7129 0.0536 0.4789
Cu6 0.7129 0.4464 0.4789
S1 0.0499 0.2500 0.5427
S2 0.1882 0.7500 0.9226
S3 0.3812 0.5129 0.2856
S4 0.3812 0.9871 0.2856
S5 0.6188 0.0129 0.7144
S6 0.6188 0.4871 0.7144
S7 0.8118 0.2500 0.0774
S8 0.9501 0.7500 0.4573

=====

Entry 9:
A plane-wave DFT calculation with PBE-GGA was carried out for a geometry-optimized NbTlCuNi structure.

Values from the calculation:
**VASP energy**: -20.94 eV/cell
**E above lowest polymorph**: 0.0000 eV/atom

Cell lengths 4.4512, 4.4512, 4.4512 Å; angles 60.00, 60.00, 60.00 degrees
Element x y z (fractional)
Nb1 0.0000 0.0000 0.0000
Tl1 0.5000 0.5000 0.5000
Cu1 0.7500 0.7500 0.7500
Ni1 0.2500 0.2500 0.2500

=====

Entry 10:
A plane-wave DFT calculation with PBE-GGA was carried out for a geometry-optimized HoNbCF2 structure.

Values from the calculation:
**VASP energy**: -37.42 eV/cell

Cell lengths 3.3372, 3.3372, 6.6980 Å; angles 90.00, 90.00, 120.00 degrees
Element x y z (fractional)
Ho1 0.0000 0.0000 0.0000
Nb1 0.3333 0.6667 0.6303
C1 0.6667 0.3333 0.7846
F1 0.0000 0.0000 0.4337
F2 0.3333 0.6667 0.1817

=====

Entry 11:
A plane-wave DFT calculation with PBE-GGA was carried out for a geometry-optimized MgScCdCu structure.

Values from the calculation:
**VASP energy**: -13.31 eV/cell
**E above lowest polymorph**: 0.0000 eV/atom

Cell lengths 4.7174, 4.7174, 4.7174 Å; angles 60.00, 60.00, 60.00 degrees
Element x y z (fractional)
Mg1 0.0000 0.0000 0.0000
Sc1 0.5000 0.5000 0.5000
Cd1 0.2500 0.2500 0.2500
Cu1 0.7500 0.7500 0.7500

=====

Entry 12:
A plane-wave DFT calculation with PBE-GGA was carried out for a geometry-optimized BeHgPO structure.

Values from the calculation:
**VASP energy**: -34.01 eV/cell
**E above lowest polymorph**: 0.0000 eV/atom

Cell lengths 2.8050, 6.6995, 6.1516 Å; angles 90.00, 90.00, 90.00 degrees
Element x y z (fractional)
Be1 0.0000 0.2308 0.0000
Be2 0.0000 0.7692 0.5000
Hg1 0.5000 0.3277 0.5480
Hg2 0.5000 0.6723 0.0480
P1 0.0000 0.0661 0.3196
P2 0.0000 0.9339 0.8196
O1 0.5000 0.3341 0.9604
O2 0.5000 0.6659 0.4604